Computed, not measured: a relaxed structure of ScFeRuC2 at the PBE-GGA level of DFT.

The space group is P4/mmm (No. 123) and the conventional cell measures 3.657, 3.657 and 5.004 Å, with angles of 90.00, 90.00 and 90.00 degrees. The asymmetric unit holds Sc at (0.000, 0.000, 0.000), Fe at (0.000, 0.000, 0.500), Ru at (0.500, 0.500, 0.000) and C at (0.000, 0.500, 0.500).

For the density of states at the Fermi level, the calculation gives 0.967 states/eV/atom. The value obtained for the formation energy from the elements is 1312 meV per atom. The total magnetic moment comes out at 0.000 μB/atom. The calculation puts the calculated volume at 67 Å³/cell.